# 1
The following is a DFT calculation (PBE) of an optimized crystal structure of Sr2SiOs.

Unit cell a=7.091 b=7.091 c=7.091 alpha=90.00 beta=90.00 gamma=90.00
Space group F-43m (No. 216)
One atom of each set of equivalent atoms:
Sr  0.000  0.000  0.000 [4 per cell]
Sr  0.250  0.250  0.250 [4 per cell]
Si  0.250  0.250  0.750 [4 per cell]
Os  0.000  0.000  0.500 [4 per cell]

Values from the calculation:
Magnetic moment, μB/cell: 4.80
VASP energy, eV/atom: -4.44
V, Å³ per cell: 356.5
Formation energy from raw total energies, meV per atom: 567


# 2
The following is a DFT calculation (PBE) of an optimized crystal structure of Sr2SiOs.

Unit cell a=3.994 b=5.082 c=10.642 alpha=90.00 beta=90.00 gamma=90.00
Space group Imm2 (No. 44)
One atom of each set of equivalent atoms:
Sr  0.000  0.000  0.000 [2 per cell]
Sr  0.000  0.500  0.211 [2 per cell]
Si  0.000  0.000  0.421 [2 per cell]
Os  0.000  0.500  0.814 [2 per cell]

Values from the calculation:
Magnetic moment, μB/cell: 0.00
VASP energy, eV/atom: -5.00
V, Å³ per cell: 216.0
Formation energy from raw total energies, meV per atom: 0


# 3
The following is a DFT calculation (PBE) of an optimized crystal structure of SrSiOs2.

Unit cell a=2.931 b=4.202 c=6.425 alpha=90.00 beta=100.95 gamma=90.00
Space group Pm (No. 6)
One atom of each set of equivalent atoms:
Sr  0.000  0.000  0.000 [1 per cell]
Si  0.376  0.500  0.697 [1 per cell]
Os  0.325  0.000  0.493 [1 per cell]
Os  0.752  0.500  0.378 [1 per cell]

Values from the calculation:
Magnetic moment, μB/cell: 0.00
VASP energy, eV/atom: -7.15
V, Å³ per cell: 77.7
Formation energy from raw total energies, meV per atom: 238


# 4
The following is a DFT calculation (PBE) of an optimized crystal structure of Sr3SiOs.

Unit cell a=5.681 b=5.681 c=5.681 alpha=90.00 beta=90.00 gamma=90.00
Space group Pm-3m (No. 221)
One atom of each set of equivalent atoms:
Sr  0.000  0.000  0.500 [3 per cell]
Si  0.500  0.500  0.500 [1 per cell]
Os  0.000  0.000  0.000 [1 per cell]

Values from the calculation:
Magnetic moment, μB/cell: 2.00
VASP energy, eV/atom: -3.70
V, Å³ per cell: 183.3
Formation energy from raw total energies, meV per atom: 638


# 5
The following is a DFT calculation (PBE) of an optimized crystal structure of SrSiOs2.

Unit cell a=9.309 b=2.982 c=5.844 alpha=90.00 beta=108.13 gamma=90.00
Space group C2/m (No. 12)
One atom of each set of equivalent atoms:
Sr  0.000  0.000  0.000 [2 per cell]
Si  0.000  0.500  0.500 [2 per cell]
Os  0.210  0.000  0.652 [4 per cell]

Values from the calculation:
Magnetic moment, μB/cell: 0.00
VASP energy, eV/atom: -7.07
V, Å³ per cell: 154.2
Formation energy from raw total energies, meV per atom: 324


# 6
The following is a DFT calculation (PBE) of an optimized crystal structure of SrSi3Os3.

Unit cell a=6.5934 b=6.5934 c=22.3196 alpha=90.00 beta=90.00 gamma=120.00
Space group R-3 (No. 148, hexagonal axes)
One atom of each set of equivalent atoms:
Sr  0.0000  0.0000  0.1672 [6 per cell]
Si  0.0192  0.7411  0.5977 [18 per cell]
Os  0.0258  0.6336  0.3750 [18 per cell]

Values from the calculation:
Magnetic moment, μB/cell: 0.00
VASP energy, eV/atom: -7.42
V, Å³ per cell: 840.3
Formation energy from raw total energies, meV per atom: -42